Computed, not measured: a PBEsol-optimized structure of Y2TeSe at the SCAN level of DFT.

**Density**: 6.25 g/cm³

a = 4.1402 Å, b = 4.1402 Å, c = 20.6535 Å
α = 90.00°, β = 90.00°, γ = 120.00°
Space group R-3m (No. 166, hexagonal axes)
Asymmetric unit:
Y: 0.0000 0.0000 0.2381 (multiplicity 6)
Te: 0.0000 0.0000 0.0000 (multiplicity 3)
Se: 0.0000 0.0000 0.5000 (multiplicity 3)



Computed, not measured: a PBEsol-optimized structure of Y2TeSe at the SCAN level of DFT.

**Density**: 6.18 g/cm³

a = 3.8731 Å, b = 3.8932 Å, c = 13.7070 Å
α = 90.00°, β = 90.00°, γ = 90.00°
Space group Imm2 (No. 44)
Asymmetric unit:
Y: 0.0000 0.0000 0.0000 (multiplicity 2)
Y: 0.0000 0.5000 0.2322 (multiplicity 2)
Te: 0.0000 0.5000 0.8292 (multiplicity 2)
Se: 0.0000 0.0000 0.5759 (multiplicity 2)



Number 1: ΔE_f (raw) -1.7393 eV per atom, DFT total energy -29.99 eV/atom. Number 2: ΔE_f (raw) -1.6839 eV per atom, DFT total energy -29.94 eV/atom.